[1]
A plane-wave DFT calculation with PBE was carried out for a relaxed LiP2Se crystal.

Properties
energy: -15.97 eV/cell
space-group type: P4/mmm

Unit cell a=3.5619 b=3.5619 c=5.1349 alpha=90.00 beta=90.00 gamma=90.00
Positions (direct):
Li 0.0000 0.0000 0.0000
P 0.0000 0.5000 0.5000
P 0.5000 0.0000 0.5000
Se 0.5000 0.5000 0.0000


[2]
A plane-wave DFT calculation with PBE was carried out for a relaxed LiP2Se crystal.

Properties
energy: -59.96 eV/cell
space-group type: I-42d

Unit cell a=5.7329 b=5.7329 c=11.0619 alpha=90.00 beta=90.00 gamma=90.00
Positions (direct):
Li 0.0000 0.0000 0.0000
Li 0.0000 0.5000 0.2500
Li 0.5000 0.0000 0.7500
Li 0.5000 0.5000 0.5000
P 0.2461 0.2500 0.6250
P 0.2500 0.7461 0.8750
P 0.2500 0.7539 0.3750
P 0.2539 0.2500 0.1250
P 0.7461 0.7500 0.1250
P 0.7500 0.2461 0.3750
P 0.7500 0.2539 0.8750
P 0.7539 0.7500 0.6250
Se 0.0000 0.0000 0.5000
Se 0.0000 0.5000 0.7500
Se 0.5000 0.0000 0.2500
Se 0.5000 0.5000 0.0000


[3]
A plane-wave DFT calculation with PBE was carried out for a relaxed Li2PSe crystal.

Properties
energy above the lowest structure with this stoichiometry: 0.331 eV/atom
space-group type: P4mm

Unit cell a=3.5792 b=3.5792 c=5.1558 alpha=90.00 beta=90.00 gamma=90.00
Positions (direct):
Li 0.0000 0.0000 0.0000
Li 0.5000 0.5000 0.3303
P 0.0000 0.0000 0.5136
Se 0.5000 0.5000 0.8191


[4]
A plane-wave DFT calculation with PBE was carried out for a relaxed LiP2Se crystal.

Properties
energy: -46.56 eV/cell
space-group type: R-3m

Unit cell a=3.4918 b=3.4918 c=20.3298 alpha=90.00 beta=90.00 gamma=120.00
Positions (direct):
Li 0.0000 0.0000 0.0000
Li 0.3333 0.6667 0.6667
Li 0.6667 0.3333 0.3333
P 0.0000 0.0000 0.2442
P 0.0000 0.0000 0.7558
P 0.3333 0.6667 0.4224
P 0.3333 0.6667 0.9109
P 0.6667 0.3333 0.0891
P 0.6667 0.3333 0.5776
Se 0.0000 0.0000 0.5000
Se 0.3333 0.6667 0.1667
Se 0.6667 0.3333 0.8333


[5]
A plane-wave DFT calculation with PBE was carried out for a relaxed Li2PSe crystal.

Properties
energy above the lowest structure with this stoichiometry: 0.174 eV/atom
space-group type: R-3m

Unit cell a=3.0605 b=3.0605 c=23.8399 alpha=90.00 beta=90.00 gamma=120.00
Positions (direct):
Li 0.0000 0.0000 0.2465
Li 0.0000 0.0000 0.7535
Li 0.3333 0.6667 0.4201
Li 0.3333 0.6667 0.9132
Li 0.6667 0.3333 0.0868
Li 0.6667 0.3333 0.5799
P 0.0000 0.0000 0.5000
P 0.3333 0.6667 0.1667
P 0.6667 0.3333 0.8333
Se 0.0000 0.0000 0.0000
Se 0.3333 0.6667 0.6667
Se 0.6667 0.3333 0.3333


[6]
A plane-wave DFT calculation with PBE was carried out for a relaxed Li2PSe4 crystal.

Properties
energy above the lowest structure with this stoichiometry: 0.000 eV/atom
space-group type: C2/m

Unit cell a=14.0255 b=3.5830 c=6.5029 alpha=90.00 beta=115.65 gamma=90.00
Positions (direct):
Li 0.1980 0.0000 0.2365
Li 0.3020 0.5000 0.7635
Li 0.6980 0.5000 0.2365
Li 0.8020 0.0000 0.7635
P 0.0000 0.5000 0.5000
P 0.5000 0.0000 0.5000
Se 0.0693 0.5000 0.9469
Se 0.1402 0.0000 0.5636
Se 0.3598 0.5000 0.4364
Se 0.4307 0.0000 0.0531
Se 0.5693 0.0000 0.9469
Se 0.6402 0.5000 0.5636
Se 0.8598 0.0000 0.4364
Se 0.9307 0.5000 0.0531


[7]
A plane-wave DFT calculation with PBE was carried out for a relaxed Li2PSe crystal.

Properties
energy above the lowest structure with this stoichiometry: 0.424 eV/atom
space-group type: F-43m

Unit cell a=6.4782 b=6.4782 c=6.4782 alpha=90.00 beta=90.00 gamma=90.00
Positions (direct):
Li 0.0000 0.0000 0.0000
Li 0.0000 0.5000 0.5000
Li 0.2500 0.2500 0.2500
Li 0.2500 0.7500 0.7500
Li 0.5000 0.0000 0.5000
Li 0.5000 0.5000 0.0000
Li 0.7500 0.2500 0.7500
Li 0.7500 0.7500 0.2500
P 0.0000 0.0000 0.5000
P 0.0000 0.5000 0.0000
P 0.5000 0.0000 0.0000
P 0.5000 0.5000 0.5000
Se 0.2500 0.2500 0.7500
Se 0.2500 0.7500 0.2500
Se 0.7500 0.2500 0.2500
Se 0.7500 0.7500 0.7500


[8]
A plane-wave DFT calculation with PBE was carried out for a relaxed LiP2Se crystal.

Properties
energy: -34.74 eV/cell
space-group type: Cm

Unit cell a=8.2197 b=3.3376 c=6.8947 alpha=90.00 beta=114.88 gamma=90.00
Positions (direct):
Li 0.0000 0.0000 0.0000
Li 0.5000 0.5000 0.0000
P 0.0501 0.5000 0.5140
P 0.1710 0.0000 0.4112
P 0.5501 0.0000 0.5140
P 0.6710 0.5000 0.4112
Se 0.1701 0.5000 0.8798
Se 0.6701 0.0000 0.8798